Record 1
# PBE-GGA Co2AgSnW, optimized geometry
data_Co2AgSnW
_chemical_formula_sum 'Co2 Ag1 Sn1 W1'
_cell_length_a 4.580
_cell_length_b 4.580
_cell_length_c 4.865
_cell_angle_alpha 90.00
_cell_angle_beta 90.00
_cell_angle_gamma 90.00
_space_group_name_H-M_alt 'P 4/m m m'
_space_group_IT_number 123
_space_group_name_Hall '-P 4 2'
loop_
_atom_site_label
_atom_site_type_symbol
_atom_site_fract_x
_atom_site_fract_y
_atom_site_fract_z
_atom_site_occupancy
Co1 Co 0.000 0.500 0.000 1
Ag1 Ag 0.000 0.000 0.000 1
Sn1 Sn 0.000 0.000 0.500 1
W1 W 0.500 0.500 0.500 1
# Formation energy from the elements: 1.997 eV/atom



Record 2
# PBE-GGA CaTl2Ag, optimized geometry
data_CaTl2Ag
_chemical_formula_sum 'Ca4 Tl8 Ag4'
_cell_length_a 8.502
_cell_length_b 8.502
_cell_length_c 6.337
_cell_angle_alpha 90.00
_cell_angle_beta 90.00
_cell_angle_gamma 90.00
_space_group_name_H-M_alt 'I -4 2 d'
_space_group_IT_number 122
_space_group_name_Hall 'I -4 2bw'
loop_
_atom_site_label
_atom_site_type_symbol
_atom_site_fract_x
_atom_site_fract_y
_atom_site_fract_z
_atom_site_occupancy
Ca1 Ca 0.000 0.000 0.000 1
Tl1 Tl 0.209 0.250 0.625 1
Ag1 Ag 0.000 0.000 0.500 1
# Formation energy from the elements: -0.105 eV/atom



Record 3
# PBE-GGA RbNbTe2N, optimized geometry
data_RbNbTe2N
_chemical_formula_sum 'Rb1 Nb1 Te2 N1'
_cell_length_a 5.859
_cell_length_b 5.859
_cell_length_c 3.968
_cell_angle_alpha 90.00
_cell_angle_beta 90.00
_cell_angle_gamma 90.00
_space_group_name_H-M_alt 'P 4/m m m'
_space_group_IT_number 123
_space_group_name_Hall '-P 4 2'
loop_
_atom_site_label
_atom_site_type_symbol
_atom_site_fract_x
_atom_site_fract_y
_atom_site_fract_z
_atom_site_occupancy
Rb1 Rb 0.000 0.000 0.000 1
Nb1 Nb 0.500 0.500 0.500 1
Te1 Te 0.000 0.500 0.500 1
N1 N 0.500 0.500 0.000 1
# Formation energy from raw total energies: -236 meV per atom
# Excess energy over the best structure of this formula in the dataset: 0 kJ/mol of formula units



Record 4
# PBE-GGA LiGa2Au6, optimized geometry
data_LiGa2Au6
_chemical_formula_sum 'Li4 Ga8 Au24'
_cell_length_a 14.754
_cell_length_b 9.408
_cell_length_c 4.555
_cell_angle_alpha 90.00
_cell_angle_beta 98.32
_cell_angle_gamma 90.00
_space_group_name_H-M_alt 'C 1 2/c 1'
_space_group_IT_number 15
loop_
_space_group_symop_operation_xyz
'x,y,z'
'-x,-y,-z'
'-x,y,-z+1/2'
'x,-y,z+1/2'
'x+1/2,y+1/2,z'
'-x+1/2,-y+1/2,-z'
'-x+1/2,y+1/2,-z+1/2'
'x+1/2,-y+1/2,z+1/2'
loop_
_atom_site_label
_atom_site_type_symbol
_atom_site_fract_x
_atom_site_fract_y
_atom_site_fract_z
_atom_site_occupancy
Li1 Li 0.000 0.141 0.250 1
Ga1 Ga 0.158 0.341 0.088 1
Au1 Au 0.063 0.383 0.535 1
Au2 Au 0.098 0.104 0.791 1
Au3 Au 0.238 0.106 0.363 1
# Formation energy from the elements: -0.219 eV/atom
# Excess energy over the best structure of this formula in the dataset: 9 kJ/mol of formula units



Record 5
# PBE-GGA Ho2Tm5Sc3, optimized geometry
data_Ho2Tm5Sc3
_chemical_formula_sum 'Ho8 Tm20 Sc12'
_cell_length_a 10.535
_cell_length_b 13.991
_cell_length_c 9.168
_cell_angle_alpha 90.00
_cell_angle_beta 117.38
_cell_angle_gamma 90.00
_space_group_name_H-M_alt 'C 1 2/c 1'
_space_group_IT_number 15
loop_
_space_group_symop_operation_xyz
'x,y,z'
'-x,-y,-z'
'-x,y,-z+1/2'
'x,-y,z+1/2'
'x+1/2,y+1/2,z'
'-x+1/2,-y+1/2,-z'
'-x+1/2,y+1/2,-z+1/2'
'x+1/2,-y+1/2,z+1/2'
loop_
_atom_site_label
_atom_site_type_symbol
_atom_site_fract_x
_atom_site_fract_y
_atom_site_fract_z
_atom_site_occupancy
Ho1 Ho 0.175 0.130 0.042 1
Tm1 Tm 0.000 0.036 0.250 1
Tm2 Tm 0.000 0.253 0.250 1
Tm3 Tm 0.000 0.499 0.750 1
Tm4 Tm 0.196 0.123 0.668 1
Sc1 Sc 0.000 0.276 0.750 1
Sc2 Sc 0.172 0.368 0.583 1
# Formation energy from the elements: 0.212 eV/atom



Record 6
# PBE-GGA CeNdAs2O8, optimized geometry
data_CeNdAs2O8
_chemical_formula_sum 'Ce2 Nd2 As4 O16'
_cell_length_a 7.380
_cell_length_b 7.380
_cell_length_c 6.553
_cell_angle_alpha 90.00
_cell_angle_beta 90.00
_cell_angle_gamma 90.00
_space_group_name_H-M_alt 'I -4 m 2'
_space_group_IT_number 119
_space_group_name_Hall 'I -4 -2'
loop_
_atom_site_label
_atom_site_type_symbol
_atom_site_fract_x
_atom_site_fract_y
_atom_site_fract_z
_atom_site_occupancy
Ce1 Ce 0.000 0.000 0.000 1
Nd1 Nd 0.000 0.500 0.750 1
As1 As 0.000 0.000 0.500 1
As2 As 0.000 0.500 0.250 1
O1 O 0.000 0.179 0.669 1
O2 O 0.000 0.322 0.079 1
# Formation energy from raw total energies: -2300 meV per atom



Record 7
# PBE-GGA Cs2BeOsO, optimized geometry
data_Cs2BeOsO
_chemical_formula_sum 'Cs2 Be1 Os1 O1'
_cell_length_a 6.557
_cell_length_b 6.557
_cell_length_c 3.043
_cell_angle_alpha 90.00
_cell_angle_beta 90.00
_cell_angle_gamma 90.00
_space_group_name_H-M_alt 'P 4/m m m'
_space_group_IT_number 123
_space_group_name_Hall '-P 4 2'
loop_
_atom_site_label
_atom_site_type_symbol
_atom_site_fract_x
_atom_site_fract_y
_atom_site_fract_z
_atom_site_occupancy
Cs1 Cs 0.000 0.500 0.000 1
Be1 Be 0.000 0.000 0.500 1
Os1 Os 0.500 0.500 0.500 1
O1 O 0.000 0.000 0.000 1
# Formation energy from raw total energies: 314 meV per atom



Record 8
# PBE-GGA Ti5AlRe4, optimized geometry
data_Ti5AlRe4
_chemical_formula_sum 'Ti5 Al1 Re4'
_cell_length_a 3.159
_cell_length_b 3.159
_cell_length_c 15.386
_cell_angle_alpha 90.00
_cell_angle_beta 90.00
_cell_angle_gamma 90.00
_space_group_name_H-M_alt 'P 4/m m m'
_space_group_IT_number 123
_space_group_name_Hall '-P 4 2'
loop_
_atom_site_label
_atom_site_type_symbol
_atom_site_fract_x
_atom_site_fract_y
_atom_site_fract_z
_atom_site_occupancy
Ti1 Ti 0.000 0.000 0.000 1
Ti2 Ti 0.000 0.000 0.200 1
Ti3 Ti 0.000 0.000 0.394 1
Al1 Al 0.500 0.500 0.500 1
Re1 Re 0.500 0.500 0.100 1
Re2 Re 0.500 0.500 0.303 1
# Formation energy from the elements: -0.434 eV/atom



Record 9
# PBE-GGA LiMg2CdHg2, optimized geometry
data_LiMg2CdHg2
_chemical_formula_sum 'Li2 Mg4 Cd2 Hg4'
_cell_length_a 4.587
_cell_length_b 8.894
_cell_length_c 6.262
_cell_angle_alpha 90.00
_cell_angle_beta 90.00
_cell_angle_gamma 90.00
_space_group_name_H-M_alt 'P m c 21'
_space_group_IT_number 26
loop_
_space_group_symop_operation_xyz
'x,y,z'
'-x,-y,z+1/2'
'-x,y,z'
'x,-y,z+1/2'
loop_
_atom_site_label
_atom_site_type_symbol
_atom_site_fract_x
_atom_site_fract_y
_atom_site_fract_z
_atom_site_occupancy
Li1 Li 0.000 0.046 0.000 1
Mg1 Mg 0.000 0.300 0.409 1
Mg2 Mg 0.500 0.466 0.129 1
Cd1 Cd 0.500 0.187 0.741 1
Hg1 Hg 0.000 0.377 0.873 1
Hg2 Hg 0.500 0.138 0.256 1
# Formation energy from the elements: -0.210 eV/atom



Record 10
# PBE-GGA CePmInPb, optimized geometry
data_CePmInPb
_chemical_formula_sum 'Ce4 Pm4 In4 Pb4'
_cell_length_a 7.792
_cell_length_b 7.792
_cell_length_c 7.792
_cell_angle_alpha 90.00
_cell_angle_beta 90.00
_cell_angle_gamma 90.00
_space_group_name_H-M_alt 'F -4 3 m'
_space_group_IT_number 216
_space_group_name_Hall 'F -4 2 3'
loop_
_atom_site_label
_atom_site_type_symbol
_atom_site_fract_x
_atom_site_fract_y
_atom_site_fract_z
_atom_site_occupancy
Ce1 Ce 0.000 0.000 0.000 1
Pm1 Pm 0.000 0.000 0.500 1
In1 In 0.250 0.250 0.250 1
Pb1 Pb 0.250 0.250 0.750 1
# Formation energy from the elements: -0.393 eV/atom
# Excess energy over the best structure of this formula in the dataset: 15 kJ/mol of formula units



Record 11
# PBE-GGA SiAg2F5, optimized geometry
data_SiAg2F5
_chemical_formula_sum 'Si2 Ag4 F10'
_cell_length_a 5.741
_cell_length_b 5.804
_cell_length_c 9.109
_cell_angle_alpha 77.34
_cell_angle_beta 76.86
_cell_angle_gamma 63.16
_space_group_name_H-M_alt 'P -1'
_space_group_IT_number 2
loop_
_space_group_symop_operation_xyz
'x,y,z'
'-x,-y,-z'
loop_
_atom_site_label
_atom_site_type_symbol
_atom_site_fract_x
_atom_site_fract_y
_atom_site_fract_z
_atom_site_occupancy
Si1 Si 0.078 0.126 0.170 1
Ag1 Ag 0.000 0.500 0.500 1
Ag2 Ag 0.500 0.000 0.500 1
Ag3 Ag 0.500 0.500 0.000 1
Ag4 Ag 0.500 0.500 0.500 1
F1 F 0.012 0.076 0.698 1
F2 F 0.042 0.214 0.990 1
F3 F 0.220 0.271 0.231 1
F4 F 0.229 0.635 0.785 1
F5 F 0.368 0.875 0.127 1
# Formation energy from raw total energies: -2060 meV per atom



Record 12
# PBE-GGA K2CaTc, optimized geometry
data_K2CaTc
_chemical_formula_sum 'K4 Ca2 Tc2'
_cell_length_a 5.849
_cell_length_b 5.849
_cell_length_c 8.311
_cell_angle_alpha 90.00
_cell_angle_beta 90.00
_cell_angle_gamma 90.00
_space_group_name_H-M_alt 'I -4 m 2'
_space_group_IT_number 119
_space_group_name_Hall 'I -4 -2'
loop_
_atom_site_label
_atom_site_type_symbol
_atom_site_fract_x
_atom_site_fract_y
_atom_site_fract_z
_atom_site_occupancy
K1 K 0.000 0.000 0.000 1
K2 K 0.000 0.500 0.250 1
Ca1 Ca 0.000 0.000 0.500 1
Tc1 Tc 0.000 0.500 0.750 1
# Formation energy from the elements: 1.085 eV/atom
# Excess energy over the best structure of this formula in the dataset: 106 kJ/mol of formula units



What are the E values for these records? In order: -0.177 -0.092 -0.197 -0.121 -0.178 -0.267 -0.147 -0.358 -0.048 -0.172 -0.170 -0.094 hartree per atom.
What are the density values for these records? In order: 8.60 8.07 5.46 14.10 7.25 5.23 6.10 10.93 7.40 8.52 4.31 2.53 g/cm³.